Arrangement 1

## KPb3Se (PBE-GGA)

Data for a geometry-optimized KPb3Se structure.

a b c (Å): 5.836 5.836 5.836
angles (deg): 90.00 90.00 90.00
Space group Pm-3m (No. 221)
One atom of each set of equivalent atoms:
K: 0.000 0.000 0.000
Pb: 0.000 0.500 0.500
Se: 0.500 0.500 0.500

---

Arrangement 2

## KPb3Se (PBE-GGA)

Data for a geometry-optimized KPb3Se structure.

a b c (Å): 6.000 6.000 6.000
angles (deg): 90.00 90.00 90.00
Space group Pm-3m (No. 221)
One atom of each set of equivalent atoms:
K: 0.000 0.000 0.000
Pb: 0.000 0.000 0.500
Se: 0.500 0.500 0.500

---

arrangement 1 has the most favorable energy; the next structure is 1.031 eV/atom above.